Compound: RbDyHg2F8
Source: Alexandria
Functional: PBE
Structure: optimized geometry

- formation energy from raw total energies (eV/atom) = -2.536
- crystal system = triclinic

Unit cell a=4.1641 b=6.0430 c=8.3645 alpha=83.17 beta=87.42 gamma=82.03
Closest atoms and distances in Å follow each position.
Sites, in units of the cell vectors:
F  0.0360  0.7488  0.2310  1 Dy 2.31, 2 Hg 2.41-2.44
F  0.9220  0.2367  0.1824  1 Dy 2.20, 1 Hg 2.35
Rb  0.0000  0.0000  0.5000  8 F 2.70-2.87
Hg  0.4232  0.4575  0.7283  5 F 2.21-2.44
F  0.4310  0.2976  0.4693  1 Hg 2.21
F  0.9640  0.2512  0.7690  1 Dy 2.31, 2 Hg 2.41-2.44
F  0.0780  0.7633  0.8176  1 Dy 2.20, 1 Hg 2.35
F  0.5690  0.7024  0.5307  1 Hg 2.21
F  0.4583  0.2003  0.9547  1 Hg 2.30, 2 Dy 2.39-2.43, 1 F 2.43
F  0.5417  0.7997  0.0453  1 Hg 2.30, 2 Dy 2.39-2.43, 1 F 2.43
Dy  0.0000  0.0000  0.0000  8 F 2.20-2.43
Hg  0.5768  0.5425  0.2717  5 F 2.21-2.44